1.
VASP calculation (PBE-GGA) on GeCl after structural relaxation.

a = 5.344 Å, b = 4.290 Å, c = 5.445 Å
α = 90.00°, β = 103.11°, γ = 90.00°
Atoms (fractional coordinates):
Ge  0.129  0.250  0.042
Ge  0.871  0.750  0.958
Cl  0.320  0.250  0.715
Cl  0.680  0.750  0.285

Properties
The uncorrected formation energy is -33.59 kJ per mole of atoms. The space group is No. 11. For the energy above the most stable polymorph in this dataset, the calculation gives 204.7 meV per atom. Its total energy is -3.5801 eV per atom. The mass density comes out at 2.95 g/cm3.

---

2.
VASP calculation (PBE-GGA) on GeCl4 after structural relaxation.

a = 10.612 Å, b = 6.891 Å, c = 10.643 Å
α = 90.00°, β = 103.40°, γ = 90.00°
Atoms (fractional coordinates):
Ge  0.250  0.071  0.141
Ge  0.250  0.429  0.641
Ge  0.750  0.571  0.359
Ge  0.750  0.929  0.859
Cl  0.095  0.576  0.699
Cl  0.095  0.924  0.199
Cl  0.193  0.136  0.590
Cl  0.193  0.364  0.090
Cl  0.293  0.574  0.479
Cl  0.293  0.926  0.979
Cl  0.417  0.070  0.298
Cl  0.417  0.430  0.798
Cl  0.583  0.570  0.202
Cl  0.583  0.930  0.702
Cl  0.707  0.074  0.021
Cl  0.707  0.426  0.521
Cl  0.807  0.636  0.910
Cl  0.807  0.864  0.410
Cl  0.905  0.076  0.801
Cl  0.905  0.424  0.301

Properties
The uncorrected formation energy is -89.34 kJ per mole of atoms. The space group is No. 14. For the energy above the most stable polymorph in this dataset, the calculation gives 0.0 meV per atom. Its total energy is -3.3268 eV per atom. The mass density comes out at 1.88 g/cm3.

---

3.
VASP calculation (PBE-GGA) on GeCl after structural relaxation.

a = 5.543 Å, b = 14.434 Å, c = 5.418 Å
α = 90.00°, β = 90.00°, γ = 90.00°
Atoms (fractional coordinates):
Ge  0.250  0.161  0.101
Ge  0.250  0.339  0.101
Ge  0.250  0.750  0.805
Ge  0.750  0.250  0.195
Ge  0.750  0.661  0.899
Ge  0.750  0.839  0.899
Cl  0.250  0.250  0.718
Cl  0.250  0.621  0.078
Cl  0.250  0.879  0.078
Cl  0.750  0.121  0.922
Cl  0.750  0.379  0.922
Cl  0.750  0.750  0.282

Properties
The uncorrected formation energy is -22.74 kJ per mole of atoms. The space group is No. 59. For the energy above the most stable polymorph in this dataset, the calculation gives 317.1 meV per atom. Its total energy is -3.4677 eV per atom. The mass density comes out at 2.48 g/cm3.

---

4.
VASP calculation (PBE-GGA) on GeHCl after structural relaxation.

a = 4.417 Å, b = 5.638 Å, c = 5.781 Å
α = 102.32°, β = 111.31°, γ = 91.43°
Atoms (fractional coordinates):
Ge  0.214  0.225  0.137
Ge  0.786  0.775  0.863
H  0.193  0.904  0.963
H  0.807  0.096  0.037
Cl  0.087  0.320  0.742
Cl  0.913  0.680  0.258

Properties
The space group is No. 2. For the energy above the most stable polymorph in this dataset, the calculation gives 0.0 meV per atom. Its total energy is -3.4882 eV per atom. The mass density comes out at 2.78 g/cm3.

---

5.
VASP calculation (PBE-GGA) on GeH2Cl6 after structural relaxation.

a = 10.688 Å, b = 10.688 Å, c = 5.610 Å
α = 104.58°, β = 104.58°, γ = 101.63°
Atoms (fractional coordinates):
Ge  0.184  0.816  0.750
Ge  0.816  0.184  0.250
H  0.333  0.366  0.064
H  0.366  0.333  0.564
H  0.634  0.667  0.436
H  0.667  0.634  0.936
Cl  0.010  0.792  0.874
Cl  0.157  0.641  0.437
Cl  0.208  0.990  0.626
Cl  0.280  0.414  0.882
Cl  0.359  0.843  0.063
Cl  0.414  0.280  0.382
Cl  0.586  0.720  0.618
Cl  0.641  0.157  0.937
Cl  0.720  0.586  0.118
Cl  0.792  0.010  0.374
Cl  0.843  0.359  0.563
Cl  0.990  0.208  0.126

Properties
The space group is No. 15. Its total energy is -3.2342 eV per atom. The mass density comes out at 1.66 g/cm3.

---

6.
VASP calculation (PBE-GGA) on GeH2Cl after structural relaxation.

a = 5.524 Å, b = 5.533 Å, c = 5.556 Å
α = 92.94°, β = 108.02°, γ = 92.96°
Atoms (fractional coordinates):
Ge  0.000  0.000  0.000
Ge  0.372  0.108  0.371
H  0.046  0.841  0.787
H  0.460  0.893  0.531
H  0.587  0.267  0.327
H  0.840  0.216  0.912
Cl  0.226  0.348  0.620
Cl  0.749  0.760  0.143

Properties
The space group is No. 1. For the energy above the most stable polymorph in this dataset, the calculation gives 0.0 meV per atom. Its total energy is -3.5345 eV per atom. The mass density comes out at 2.27 g/cm3.

---

7.
VASP calculation (PBE-GGA) on GeHCl after structural relaxation.

a = 4.124 Å, b = 6.157 Å, c = 6.181 Å
α = 95.83°, β = 102.84°, γ = 102.73°
Atoms (fractional coordinates):
Ge  0.000  0.000  0.000
Ge  0.463  0.723  0.723
H  0.631  0.335  0.339
H  0.810  0.401  0.404
Cl  0.343  0.103  0.718
Cl  0.344  0.717  0.101

Properties
The space group is No. 1. For the energy above the most stable polymorph in this dataset, the calculation gives 60.5 meV per atom. Its total energy is -3.4277 eV per atom. The mass density comes out at 2.46 g/cm3.

---

8.
VASP calculation (PBE-GGA) on GeH5Cl2 after structural relaxation.

a = 5.471 Å, b = 5.624 Å, c = 5.776 Å
α = 66.64°, β = 63.05°, γ = 64.80°
Atoms (fractional coordinates):
Ge  0.000  0.000  0.000
H  0.399  0.142  0.276
H  0.406  0.283  0.191
H  0.892  0.753  0.164
H  0.909  0.168  0.755
H  0.990  0.163  0.163
Cl  0.378  0.572  0.569
Cl  0.476  0.808  0.816

Properties
The space group is No. 1. Its total energy is -3.1468 eV per atom. The mass density comes out at 1.78 g/cm3.

---

9.
VASP calculation (PBE-GGA) on GeH2Cl4 after structural relaxation.

a = 6.816 Å, b = 6.816 Å, c = 6.816 Å
α = 138.12°, β = 138.12°, γ = 60.72°
Atoms (fractional coordinates):
Ge  0.000  0.000  0.000
H  0.250  0.750  0.500
H  0.750  0.250  0.500
Cl  0.105  0.585  0.000
Cl  0.415  0.415  0.520
Cl  0.585  0.105  0.000
Cl  0.895  0.895  0.480

Properties
The space group is No. 121. Its total energy is -2.7390 eV per atom. The mass density comes out at 2.58 g/cm3.

---

10.
VASP calculation (PBE-GGA) on GeH2Cl after structural relaxation.

a = 4.083 Å, b = 4.083 Å, c = 4.083 Å
α = 60.00°, β = 60.00°, γ = 60.00°
Atoms (fractional coordinates):
Ge  0.000  0.000  0.000
H  0.250  0.250  0.250
H  0.750  0.750  0.750
Cl  0.500  0.500  0.500

Properties
The space group is No. 225. For the energy above the most stable polymorph in this dataset, the calculation gives 1065.2 meV per atom. Its total energy is -2.4693 eV per atom. The mass density comes out at 3.80 g/cm3.

---

11.
VASP calculation (PBE-GGA) on Ge2HCl8 after structural relaxation.

a = 8.206 Å, b = 8.206 Å, c = 7.079 Å
α = 110.60°, β = 110.60°, γ = 79.29°
Atoms (fractional coordinates):
Ge  0.233  0.233  0.097
Ge  0.767  0.767  0.903
H  0.000  0.000  0.500
Cl  0.023  0.359  0.228
Cl  0.113  0.113  0.723
Cl  0.359  0.023  0.228
Cl  0.419  0.419  0.171
Cl  0.581  0.581  0.829
Cl  0.641  0.977  0.772
Cl  0.887  0.887  0.277
Cl  0.977  0.641  0.772

Properties
The space group is No. 12. Its total energy is -3.1516 eV per atom. The mass density comes out at 1.71 g/cm3.

---

12.
VASP calculation (PBE-GGA) on GeH3Cl6 after structural relaxation.

a = 11.734 Å, b = 11.734 Å, c = 5.678 Å
α = 90.00°, β = 90.00°, γ = 115.22°
Atoms (fractional coordinates):
Ge  0.248  0.752  0.500
Ge  0.752  0.248  0.000
H  0.205  0.233  0.584
H  0.233  0.205  0.084
H  0.445  0.555  0.822
H  0.555  0.445  0.322
H  0.767  0.795  0.584
H  0.795  0.767  0.084
Cl  0.110  0.611  0.715
Cl  0.158  0.842  0.293
Cl  0.163  0.274  0.405
Cl  0.274  0.163  0.905
Cl  0.335  0.665  0.277
Cl  0.389  0.890  0.715
Cl  0.611  0.110  0.215
Cl  0.665  0.335  0.777
Cl  0.726  0.837  0.405
Cl  0.837  0.726  0.905
Cl  0.842  0.158  0.793
Cl  0.890  0.389  0.215

Properties
The space group is No. 36. Its total energy is -3.0226 eV per atom. The mass density comes out at 1.35 g/cm3.

---

13.
VASP calculation (PBE-GGA) on Ge2H3Cl4 after structural relaxation.

a = 4.511 Å, b = 6.219 Å, c = 8.005 Å
α = 105.37°, β = 91.42°, γ = 109.55°
Atoms (fractional coordinates):
Ge  0.142  0.180  0.399
Ge  0.858  0.820  0.601
H  0.000  0.000  0.000
H  0.270  0.015  0.500
H  0.730  0.985  0.500
Cl  0.024  0.152  0.870
Cl  0.372  0.635  0.694
Cl  0.628  0.365  0.306
Cl  0.976  0.848  0.130

Properties
The space group is No. 2. Its total energy is -3.2740 eV per atom. The mass density comes out at 2.38 g/cm3.

---

14.
VASP calculation (PBE-GGA) on GeHCl after structural relaxation.

a = 5.711 Å, b = 5.711 Å, c = 5.711 Å
α = 147.53°, β = 147.53°, γ = 46.58°
Atoms (fractional coordinates):
Ge  0.000  0.000  0.000
H  0.509  0.509  0.000
Cl  0.790  0.790  0.000

Properties
The space group is No. 107. For the energy above the most stable polymorph in this dataset, the calculation gives 276.5 meV per atom. Its total energy is -3.2116 eV per atom. The mass density comes out at 3.39 g/cm3.

---

15.
VASP calculation (PBE-GGA) on GeH2Cl8 after structural relaxation.

a = 7.355 Å, b = 7.355 Å, c = 7.288 Å
α = 96.32°, β = 96.32°, γ = 59.03°
Atoms (fractional coordinates):
Ge  0.000  0.000  0.000
H  0.266  0.266  0.318
H  0.734  0.734  0.682
Cl  0.075  0.075  0.731
Cl  0.107  0.660  0.883
Cl  0.340  0.893  0.117
Cl  0.350  0.350  0.437
Cl  0.650  0.650  0.563
Cl  0.660  0.107  0.883
Cl  0.893  0.340  0.117
Cl  0.925  0.925  0.269

Properties
The space group is No. 12. For the energy above the most stable polymorph in this dataset, the calculation gives 13.8 meV per atom. Its total energy is -2.7257 eV per atom. The mass density comes out at 1.77 g/cm3.

---

16.
VASP calculation (PBE-GGA) on GeH2Cl after structural relaxation.

a = 5.477 Å, b = 5.477 Å, c = 5.477 Å
α = 120.22°, β = 120.22°, γ = 89.62°
Atoms (fractional coordinates):
Ge  0.000  0.000  0.000
Ge  0.750  0.250  0.500
H  0.375  0.119  0.244
H  0.869  0.625  0.744
H  0.875  0.131  0.756
H  0.881  0.125  0.256
Cl  0.250  0.750  0.500
Cl  0.500  0.500  0.000

Properties
The space group is No. 122. For the energy above the most stable polymorph in this dataset, the calculation gives 364.0 meV per atom. Its total energy is -3.1705 eV per atom. The mass density comes out at 3.16 g/cm3.

---

17.
VASP calculation (PBE-GGA) on GeH2Cl8 after structural relaxation.

a = 3.938 Å, b = 8.092 Å, c = 10.564 Å
α = 104.83°, β = 95.13°, γ = 92.33°
Atoms (fractional coordinates):
Ge  0.000  0.000  0.000
H  0.438  0.767  0.235
H  0.562  0.233  0.765
Cl  0.029  0.168  0.273
Cl  0.185  0.421  0.303
Cl  0.384  0.762  0.356
Cl  0.498  0.802  0.048
Cl  0.502  0.198  0.952
Cl  0.616  0.238  0.644
Cl  0.815  0.579  0.697
Cl  0.971  0.832  0.727

Properties
The space group is No. 2. For the energy above the most stable polymorph in this dataset, the calculation gives 0.0 meV per atom. Its total energy is -2.7396 eV per atom. The mass density comes out at 1.84 g/cm3.

---

18.
VASP calculation (PBE-GGA) on HgGeH2Cl after structural relaxation.

a = 3.820 Å, b = 3.820 Å, c = 5.716 Å
α = 90.00°, β = 90.00°, γ = 90.00°
Atoms (fractional coordinates):
Hg  0.000  0.000  0.000
Ge  0.000  0.000  0.500
H  0.000  0.500  0.000
H  0.500  0.000  0.000
Cl  0.500  0.500  0.500

Properties
The space group is No. 123. Its total energy is -2.5101 eV per atom. The mass density comes out at 6.19 g/cm3.

---

19.
VASP calculation (PBE-GGA) on La4GeHCl2 after structural relaxation.

a = 7.173 Å, b = 4.248 Å, c = 7.192 Å
α = 90.00°, β = 109.34°, γ = 90.00°
Atoms (fractional coordinates):
La  0.237  0.000  0.262
La  0.242  0.500  0.742
La  0.758  0.500  0.258
La  0.763  0.000  0.738
Ge  0.000  0.500  0.000
H  0.000  0.000  0.500
Cl  0.500  0.000  0.000
Cl  0.500  0.500  0.500

Properties
The space group is No. 10. Its total energy is -5.0131 eV per atom. The mass density comes out at 5.62 g/cm3.

---

20.
VASP calculation (PBE-GGA) on Li2GeHCl after structural relaxation.

a = 3.861 Å, b = 3.861 Å, c = 5.574 Å
α = 90.00°, β = 90.00°, γ = 90.00°
Atoms (fractional coordinates):
Li  0.000  0.500  0.000
Li  0.500  0.000  0.000
Ge  0.000  0.000  0.500
H  0.500  0.500  0.000
Cl  0.500  0.500  0.500

Properties
The space group is No. 123. Its total energy is -2.9040 eV per atom. The mass density comes out at 2.46 g/cm3.